i) A relaxed Tb3Ho5Tm2 crystal. Source: the Alexandria database, functional GGA-PBE.

Results
Symmetry: Ibam (72)
Density of states at the Fermi level, states/eV/atom: 1.617
Calculated density, Mg/m³: 8.22

Structure (POSCAR):
```
Tb3Ho5Tm2
1.0
-6.358 8.384 3.107
6.358 -8.384 3.107
6.358 8.384 -3.107
Tb Ho Tm
6 10 4
direct
0.249 0.159 0.408 Tb
0.250 0.250 0.000 Tb
0.251 0.659 0.910 Tb
0.749 0.341 0.090 Tb
0.750 0.750 0.000 Tb
0.751 0.841 0.592 Tb
0.157 0.401 0.557 Ho
0.250 0.000 0.750 Ho
0.250 0.500 0.250 Ho
0.250 0.750 0.500 Ho
0.343 0.901 0.244 Ho
0.657 0.099 0.756 Ho
0.750 0.000 0.250 Ho
0.750 0.250 0.500 Ho
0.750 0.500 0.750 Ho
0.843 0.599 0.443 Ho
0.156 0.901 0.057 Tm
0.344 0.401 0.744 Tm
0.656 0.599 0.256 Tm
0.844 0.099 0.943 Tm
```

---

ii) A relaxed Tb3Ho5Tm2 crystal. Source: the Alexandria database, functional GGA-PBE.

Results
Symmetry: C2/c (15)
Density of states at the Fermi level, states/eV/atom: 1.735
Calculated density, Mg/m³: 8.51

Structure (POSCAR):
```
Tb3Ho5Tm2
1.0
5.296 -7.792 0.000
5.296 7.792 0.000
-5.271 0.000 7.755
Tb Ho Tm
6 10 4
direct
0.021 0.266 0.046 Tb
0.233 0.767 0.750 Tb
0.266 0.021 0.546 Tb
0.734 0.979 0.454 Tb
0.767 0.233 0.250 Tb
0.979 0.734 0.954 Tb
0.028 0.972 0.750 Ho
0.149 0.373 0.770 Ho
0.271 0.729 0.250 Ho
0.373 0.149 0.270 Ho
0.469 0.531 0.250 Ho
0.531 0.469 0.750 Ho
0.627 0.851 0.730 Ho
0.729 0.271 0.750 Ho
0.851 0.627 0.230 Ho
0.972 0.028 0.250 Ho
0.228 0.465 0.452 Tm
0.465 0.228 0.952 Tm
0.535 0.772 0.048 Tm
0.772 0.535 0.548 Tm
```

---

Short version: ii) is the most stable of them.

---

i) A relaxed Tb2Ho5Tm12 crystal. Source: the Alexandria database, functional GGA-PBE.

Results
Symmetry: P-1 (2)
Density of states at the Fermi level, states/eV/atom: 1.384
Calculated density, Mg/m³: 9.15

Structure (POSCAR):
```
Tb2Ho5Tm12
1.0
6.059 0.000 0.000
-0.022 9.263 0.000
-1.023 -2.004 10.248
Tb Ho Tm
2 5 12
direct
0.079 0.316 0.474 Tb
0.921 0.684 0.526 Tb
0.237 0.947 0.421 Ho
0.342 0.368 0.052 Ho
0.500 0.000 0.000 Ho
0.658 0.632 0.948 Ho
0.763 0.053 0.579 Ho
0.026 0.105 0.157 Tm
0.132 0.526 0.790 Tm
0.184 0.737 0.105 Tm
0.289 0.158 0.737 Tm
0.395 0.579 0.368 Tm
0.447 0.790 0.685 Tm
0.553 0.210 0.315 Tm
0.605 0.421 0.632 Tm
0.711 0.842 0.263 Tm
0.816 0.263 0.895 Tm
0.868 0.474 0.210 Tm
0.974 0.895 0.843 Tm
```

---

ii) A relaxed Tb2Ho5Tm12 crystal. Source: the Alexandria database, functional GGA-PBE.

Results
Symmetry: C2/m (12)
Density of states at the Fermi level, states/eV/atom: 1.479
Calculated density, Mg/m³: 8.89

Structure (POSCAR):
```
Tb2Ho5Tm12
1.0
7.771 -4.548 0.000
7.771 4.548 0.000
-0.175 0.000 8.378
Tb Ho Tm
2 5 12
direct
0.181 0.819 0.000 Tb
0.819 0.181 0.000 Tb
0.198 0.198 0.009 Ho
0.267 0.267 0.425 Ho
0.500 0.500 0.500 Ho
0.733 0.733 0.575 Ho
0.802 0.802 0.991 Ho
0.057 0.057 0.331 Tm
0.066 0.681 0.342 Tm
0.163 0.526 0.755 Tm
0.319 0.934 0.658 Tm
0.408 0.408 0.116 Tm
0.474 0.837 0.245 Tm
0.526 0.163 0.755 Tm
0.592 0.592 0.884 Tm
0.681 0.066 0.342 Tm
0.837 0.474 0.245 Tm
0.934 0.319 0.658 Tm
0.943 0.943 0.669 Tm
```

---

Short version: i) is the most stable of them.

---

i) A relaxed TbHo7Tm4 crystal. Source: the Alexandria database, functional GGA-PBE.

Results
Symmetry: P-3m1 (164)
Density of states at the Fermi level, states/eV/atom: 1.516
Calculated density, Mg/m³: 9.03

Structure (POSCAR):
```
TbHo7Tm4
1.0
3.509 0.000 0.000
-1.754 3.039 0.000
0.000 0.000 34.298
Tb Ho Tm
1 7 4
direct
0.000 0.000 0.000 Tb
0.000 0.000 0.250 Ho
0.000 0.000 0.500 Ho
0.000 0.000 0.750 Ho
0.333 0.667 0.666 Ho
0.333 0.667 0.916 Ho
0.667 0.333 0.084 Ho
0.667 0.333 0.334 Ho
0.333 0.667 0.167 Tm
0.333 0.667 0.417 Tm
0.667 0.333 0.583 Tm
0.667 0.333 0.833 Tm
```

---

ii) A relaxed TbHo7Tm4 crystal. Source: the Alexandria database, functional GGA-PBE.

Results
Symmetry: P-1 (2)
Density of states at the Fermi level, states/eV/atom: 1.725
Calculated density, Mg/m³: 8.91

Structure (POSCAR):
```
TbHo7Tm4
1.0
6.413 0.000 0.000
0.945 6.665 0.000
2.081 0.320 8.669
Tb Ho Tm
1 7 4
direct
0.000 0.000 0.000 Tb
0.000 0.500 0.000 Ho
0.193 0.102 0.386 Ho
0.314 0.704 0.643 Ho
0.485 0.251 0.050 Ho
0.515 0.749 0.950 Ho
0.686 0.296 0.357 Ho
0.807 0.898 0.614 Ho
0.162 0.610 0.315 Tm
0.357 0.198 0.713 Tm
0.643 0.802 0.287 Tm
0.838 0.390 0.685 Tm
```

---

Short version: i) is the most stable of them.

---

i) A relaxed Tb4Ho4Tm3 crystal. Source: the Alexandria database, functional GGA-PBE.

Results
Symmetry: P-1 (2)
Density of states at the Fermi level, states/eV/atom: 1.828
Calculated density, Mg/m³: 8.80

Structure (POSCAR):
```
Tb4Ho4Tm3
1.0
3.492 0.000 0.000
0.000 5.537 0.000
1.742 2.760 17.583
Tb Ho Tm
4 4 3
direct
0.046 0.045 0.408 Tb
0.179 0.680 0.140 Tb
0.821 0.320 0.860 Tb
0.954 0.955 0.592 Tb
0.090 0.589 0.320 Ho
0.233 0.233 0.034 Ho
0.767 0.767 0.966 Ho
0.910 0.411 0.680 Ho
0.364 0.864 0.773 Tm
0.500 0.500 0.500 Tm
0.636 0.136 0.227 Tm
```

---

ii) A relaxed Tb4Ho4Tm3 crystal. Source: the Alexandria database, functional GGA-PBE.

Results
Symmetry: Immm (71)
Density of states at the Fermi level, states/eV/atom: 1.634
Calculated density, Mg/m³: 8.55

Structure (POSCAR):
```
Tb4Ho4Tm3
1.0
-1.777 4.622 10.649
1.777 -4.622 10.649
1.777 4.622 -10.649
Tb Ho Tm
4 4 3
direct
0.185 0.000 0.185 Tb
0.241 0.241 0.000 Tb
0.759 0.759 0.000 Tb
0.815 0.000 0.815 Tb
0.178 0.857 0.321 Ho
0.464 0.143 0.321 Ho
0.536 0.857 0.679 Ho
0.822 0.143 0.679 Ho
0.108 0.608 0.500 Tm
0.500 0.500 0.000 Tm
0.892 0.392 0.500 Tm
```

---

Short version: i) is the most stable of them.